Entry from the Alexandria database: a relaxed structure of LaZrW2 (PBE).

```
data_LaZrW2
_chemical_formula_sum 'La2 Zr2 W4'
_cell_length_a 3.274
_cell_length_b 4.874
_cell_length_c 10.162
_cell_angle_alpha 90.00
_cell_angle_beta 90.00
_cell_angle_gamma 90.00
_space_group_name_H-M_alt 'C m m m'
_space_group_IT_number 65
_space_group_name_Hall '-C 2 2'
loop_
_atom_site_label
_atom_site_fract_x
_atom_site_fract_y
_atom_site_fract_z
La1 0.000 0.000 0.000
Zr1 0.000 0.000 0.500
W1 0.000 0.500 0.270
```

Properties
- relative energy among the computed polymorphs (kJ per mole of atoms) = 28.9
- formation energy (eV per atom) = 0.55